Entry 1:
This record from Alexandria via LeMat-Bulk describes a crystal of BaMnBeTc2 relaxed with PBEsol. The functional is SCAN.

## Properties
DFT total energy ... -25.58 eV per atom
Crystal system ... tetragonal
E_form ... 871 meV/atom

a b c (Å): 4.4360 4.4360 4.3874
angles (deg): 90.00 90.00 90.00
With the nearest neighbours (Å) after each atom.
Atoms (fractional coordinates):
Ba 0.0000 0.0000 0.0000  8 Tc 3.12, 4 Mn 3.14
Mn 0.5000 0.5000 0.0000  2 Be 2.19
Be 0.5000 0.5000 0.5000  2 Mn 2.19, 4 Tc 2.22
Tc 0.0000 0.5000 0.5000  2 Be 2.22
Tc 0.5000 0.0000 0.5000  2 Be 2.22

---

Entry 2:
This record from Alexandria via LeMat-Bulk describes a crystal of BaBeMo2 relaxed with PBEsol. The functional is SCAN.

## Properties
DFT total energy ... -27.31 eV per atom
Crystal system ... orthorhombic
E_form ... 1111 meV/atom

a b c (Å): 6.0504 6.0504 6.0504
angles (deg): 153.47 132.20 55.50
With the nearest neighbours (Å) after each atom.
Atoms (fractional coordinates):
Ba 0.0000 0.0000 0.0000  2 Ba 2.78, 4 Be 2.82
Be 0.5000 0.5000 0.0000  4 Mo 2.55, 2 Be 2.78, 4 Ba 2.82
Mo 0.3001 0.8001 0.5000  2 Be 2.55, 2 Mo 2.78
Mo 0.6999 0.1999 0.5000  2 Be 2.55, 2 Mo 2.78

---

Entry 3:
This record from Alexandria via LeMat-Bulk describes a crystal of BaBeMo2 relaxed with PBEsol. The functional is SCAN.

## Properties
DFT total energy ... -26.85 eV per atom
Crystal system ... tetragonal
E_form ... 1571 meV/atom

a b c (Å): 5.3234 5.3234 5.3234
angles (deg): 135.71 135.71 64.43
With the nearest neighbours (Å) after each atom.
Atoms (fractional coordinates):
Ba 0.0000 0.0000 0.0000  4 Be 2.84, 8 Mo 3.02
Be 0.5000 0.5000 0.0000  4 Ba 2.84, 8 Mo 3.02
Mo 0.2500 0.7500 0.5000  4 Mo 2.84, 4 Ba 3.02, 4 Be 3.02
Mo 0.7500 0.2500 0.5000  4 Mo 2.84, 4 Ba 3.02, 4 Be 3.02

---

Entry 4:
This record from Alexandria via LeMat-Bulk describes a crystal of Ba3BeMo relaxed with PBEsol. The functional is SCAN.

## Properties
DFT total energy ... -30.43 eV per atom
Crystal system ... cubic
E_form ... 1146 meV/atom

a b c (Å): 5.7923 5.7923 5.7923
angles (deg): 90.00 90.00 90.00
With the nearest neighbours (Å) after each atom.
Atoms (fractional coordinates):
Ba 0.0000 0.0000 0.5000  2 Mo 2.90
Ba 0.0000 0.5000 0.0000  2 Mo 2.90
Ba 0.5000 0.0000 0.0000  2 Mo 2.90
Be 0.5000 0.5000 0.5000  12 Ba 4.10
Mo 0.0000 0.0000 0.0000  6 Ba 2.90

---

Entry 5:
This record from Alexandria via LeMat-Bulk describes a crystal of BaBeMo2 relaxed with PBEsol. The functional is SCAN.

## Properties
DFT total energy ... -26.77 eV per atom
Crystal system ... tetragonal
E_form ... 1646 meV/atom

a b c (Å): 4.4596 4.4596 3.4479
angles (deg): 90.00 90.00 90.00
With the nearest neighbours (Å) after each atom.
Atoms (fractional coordinates):
Ba 0.0000 0.0000 0.0000  8 Mo 2.82, 4 Be 3.15
Be 0.5000 0.5000 0.0000  8 Mo 2.82, 4 Ba 3.15
Mo 0.0000 0.5000 0.5000  4 Be 2.82, 4 Ba 2.82, 4 Mo 3.15
Mo 0.5000 0.0000 0.5000  4 Be 2.82, 4 Ba 2.82, 4 Mo 3.15

---

Entry 6:
This record from Alexandria via LeMat-Bulk describes a crystal of Ba2BeMoN relaxed with PBEsol. The functional is SCAN.

## Properties
DFT total energy ... -24.21 eV per atom
Crystal system ... tetragonal
Formation energy (no corrections) ... 6.60 eV/f.u.

a b c (Å): 5.8545 5.8545 4.2325
angles (deg): 90.00 90.00 90.00
With the nearest neighbours (Å) after each atom.
Atoms (fractional coordinates):
Ba 0.0000 0.5000 0.0000  2 Be 2.93
Ba 0.5000 0.0000 0.0000  2 Be 2.93
Be 0.0000 0.0000 0.0000  2 Mo 2.12
Mo 0.0000 0.0000 0.5000  2 Be 2.12
N 0.5000 0.5000 0.5000  8 Ba 3.61

---

Entry 7:
This record from Alexandria via LeMat-Bulk describes a crystal of BaBeMoS2 relaxed with PBEsol. The functional is SCAN.

## Properties
DFT total energy ... -19.65 eV per atom
Crystal system ... tetragonal
Formation energy (no corrections) ... -0.20 eV/f.u.

a b c (Å): 4.7625 4.7625 4.3530
angles (deg): 90.00 90.00 90.00
With the nearest neighbours (Å) after each atom.
Atoms (fractional coordinates):
Ba 0.0000 0.0000 0.0000  8 S 3.23, 4 Mo 3.37
Be 0.5000 0.5000 0.5000  2 Mo 2.18, 4 S 2.38
Mo 0.5000 0.5000 0.0000  2 Be 2.18
S 0.0000 0.5000 0.5000  2 Be 2.38
S 0.5000 0.0000 0.5000  2 Be 2.38

---

Entry 8:
This record from Alexandria via LeMat-Bulk describes a crystal of BaBePt2N relaxed with PBEsol. The functional is SCAN.

## Properties
DFT total energy ... -38.12 eV per atom
Crystal system ... tetragonal
Formation energy (no corrections) ... 2.98 eV/f.u.

a b c (Å): 4.1007 4.1007 5.3964
angles (deg): 90.00 90.00 90.00
With the nearest neighbours (Å) after each atom.
Atoms (fractional coordinates):
Ba 0.0000 0.0000 0.0000  2 N 2.70, 4 Be 2.90
Be 0.5000 0.5000 0.0000  4 Ba 2.90
Pt 0.0000 0.5000 0.5000  2 N 2.05
Pt 0.5000 0.0000 0.5000  2 N 2.05
N 0.0000 0.0000 0.5000  4 Pt 2.05

---

Entry 9:
This record from Alexandria via LeMat-Bulk describes a crystal of BaNaBeRh2 relaxed with PBEsol. The functional is SCAN.

## Properties
DFT total energy ... -22.11 eV per atom
Crystal system ... tetragonal
E_form ... 1019 meV/atom

a b c (Å): 4.8011 4.8011 4.4225
angles (deg): 90.00 90.00 90.00
With the nearest neighbours (Å) after each atom.
Atoms (fractional coordinates):
Ba 0.0000 0.0000 0.0000  8 Rh 3.26, 4 Be 3.39
Na 0.5000 0.5000 0.5000  2 Be 2.21, 4 Rh 2.40
Be 0.5000 0.5000 0.0000  2 Na 2.21
Rh 0.0000 0.5000 0.5000  2 Na 2.40
Rh 0.5000 0.0000 0.5000  2 Na 2.40

---

Entry 10:
This record from Alexandria via LeMat-Bulk describes a crystal of BaBeNb2 relaxed with PBEsol. The functional is SCAN.

## Properties
DFT total energy ... -26.39 eV per atom
Crystal system ... tetragonal
E_form ... 1146 meV/atom

a b c (Å): 10.0079 10.0079 10.0079
angles (deg): 153.97 153.97 37.14
With the nearest neighbours (Å) after each atom.
Atoms (fractional coordinates):
Ba 0.0000 0.0000 0.0000  4 Nb 3.17, 4 Be 3.19
Ba 0.7500 0.2500 0.5000  4 Nb 3.17, 4 Be 3.19
Be 0.2500 0.7500 0.5000  4 Nb 2.67
Be 0.5000 0.5000 0.0000  4 Nb 2.67
Nb 0.2699 0.6250 0.1449  2 Nb 2.44, 2 Be 2.67
Nb 0.3750 0.5199 0.6449  2 Nb 2.44, 2 Be 2.67
Nb 0.4801 0.1250 0.8551  2 Nb 2.44, 2 Be 2.67
Nb 0.8750 0.7301 0.3551  2 Nb 2.44, 2 Be 2.67

---

Entry 11:
This record from Alexandria via LeMat-Bulk describes a crystal of BaBe2NbW relaxed with PBEsol. The functional is SCAN.

## Properties
DFT total energy ... -28.97 eV per atom
Crystal system ... tetragonal
E_form ... 1249 meV/atom

a b c (Å): 4.8819 4.8819 4.7767
angles (deg): 90.00 90.00 90.00
With the nearest neighbours (Å) after each atom.
Atoms (fractional coordinates):
Ba 0.0000 0.0000 0.0000  8 Be 3.42, 4 W 3.45
Be 0.0000 0.5000 0.5000  2 Nb 2.44
Be 0.5000 0.0000 0.5000  2 Nb 2.44
Nb 0.5000 0.5000 0.5000  2 W 2.39, 4 Be 2.44
W 0.5000 0.5000 0.0000  2 Nb 2.39

---

Entry 12:
This record from Alexandria via LeMat-Bulk describes a crystal of BaBeNi2 relaxed with PBEsol. The functional is SCAN.

## Properties
DFT total energy ... -18.18 eV per atom
Crystal system ... orthorhombic
E_form ... 879 meV/atom

a b c (Å): 4.4711 4.4711 3.3512
angles (deg): 90.00 90.00 98.33
With the nearest neighbours (Å) after each atom.
Atoms (fractional coordinates):
Ba 0.0000 0.0000 0.0000  8 Ni 2.79, 2 Be 2.92
Be 0.5000 0.5000 0.0000  8 Ni 2.79, 2 Ba 2.92
Ni 0.0000 0.5000 0.5000  4 Ba 2.79, 4 Be 2.79, 2 Ni 2.92
Ni 0.5000 0.0000 0.5000  4 Ba 2.79, 4 Be 2.79, 2 Ni 2.92

---

Entry 13:
This record from Alexandria via LeMat-Bulk describes a crystal of BaBeNi2 relaxed with PBEsol. The functional is SCAN.

## Properties
DFT total energy ... -18.17 eV per atom
Crystal system ... cubic
E_form ... 895 meV/atom

a b c (Å): 4.6077 4.6077 4.6077
angles (deg): 60.00 60.00 60.00
With the nearest neighbours (Å) after each atom.
Atoms (fractional coordinates):
Ba 0.0000 0.0000 0.0000  8 Ni 2.82
Be 0.5000 0.5000 0.5000  8 Ni 2.82
Ni 0.2500 0.2500 0.2500  4 Ba 2.82, 4 Be 2.82
Ni 0.7500 0.7500 0.7500  4 Ba 2.82, 4 Be 2.82

---

Entry 14:
This record from Alexandria via LeMat-Bulk describes a crystal of BaBeNi2 relaxed with PBEsol. The functional is SCAN.

## Properties
DFT total energy ... -18.57 eV per atom
Crystal system ... orthorhombic
E_form ... 490 meV/atom

a b c (Å): 4.9723 4.9723 4.9723
angles (deg): 133.85 110.06 87.95
With the nearest neighbours (Å) after each atom.
Atoms (fractional coordinates):
Ba 0.0000 0.0000 0.0000  4 Be 3.02-3.22, 5 Ni 3.05-3.37
Be 0.3584 0.8584 0.5000  3 Ni 2.09-2.11
Ni 0.4704 0.4704 0.0000  2 Be 2.11, 2 Ni 2.34
Ni 0.6507 0.1507 0.5000  1 Be 2.09, 2 Ni 2.34

---

Entry 15:
This record from Alexandria via LeMat-Bulk describes a crystal of BaBe2Ni relaxed with PBEsol. The functional is SCAN.

## Properties
DFT total energy ... -15.66 eV per atom
Crystal system ... tetragonal
E_form ... 451 meV/atom

a b c (Å): 3.0481 3.0481 6.9585
angles (deg): 90.00 90.00 90.00
With the nearest neighbours (Å) after each atom.
Atoms (fractional coordinates):
Ba 0.0000 0.0000 0.0000  4 Ba 3.05, 4 Ni 3.23, 5 Be 3.27-3.32
Be 0.0000 0.0000 0.5298  4 Ni 2.32, 4 Be 2.45
Be 0.5000 0.5000 0.3622  1 Ni 2.04
Ni 0.5000 0.5000 0.6550  1 Be 2.04